Entry from OQMD: a relaxed KBeNbNi crystal (PBE).

abc: 6.3037 6.3037 6.3037
angles: 90.00 90.00 90.00
Last column: nearest neighbours and their distance in Å.
Space group F-43m (No. 216)
Asymmetric unit:
K 0.0000 0.0000 0.0000 x4  4 Nb 2.73, 4 Be 2.73
Be 0.2500 0.2500 0.2500 x4  4 K 2.73, 4 Ni 2.73
Nb 0.2500 0.2500 0.7500 x4  4 K 2.73, 4 Ni 2.73
Ni 0.0000 0.0000 0.5000 x4  4 Be 2.73, 4 Nb 2.73

Values from the calculation:
The energy above the most stable polymorph in this dataset comes out at 0.00 eV/f.u.